## A
# GeSbI GGA-PBE optimized geometry
# calculated volume = 31.2 Å³ per atom
# magnetization = 0.00 Bohr magnetons per cell
# space group = No. 156
data_GeSbI
_chemical_formula_sum 'Ge1 Sb1 I1'
_symmetry_space_group_name_H-M 'P 1'
_symmetry_Int_Tables_number 1
_symmetry_space_group_name_Hall 'P 1'
_cell_length_a 6.087
_cell_length_b 4.211
_cell_length_c 4.211
_cell_angle_alpha 120.00
_cell_angle_beta 90.00
_cell_angle_gamma 90.00
loop_
_atom_site_label
_atom_site_type_symbol
_atom_site_fract_x
_atom_site_fract_y
_atom_site_fract_z
_atom_site_occupancy
Ge1 Ge 0.058 0.000 0.000 1
I1 I 0.681 0.667 0.333 1
Sb1 Sb 0.261 0.333 0.667 1

## B
# GeSbI GGA-PBE optimized geometry
# calculated volume = 36.4 Å³ per atom
# magnetization = 0.00 Bohr magnetons per cell
# space group = No. 2
data_GeSbI
_chemical_formula_sum 'Ge2 Sb2 I2'
_symmetry_space_group_name_H-M 'P 1'
_symmetry_Int_Tables_number 1
_symmetry_space_group_name_Hall 'P 1'
_cell_length_a 4.248
_cell_length_b 8.249
_cell_length_c 7.091
_cell_angle_alpha 66.42
_cell_angle_beta 89.94
_cell_angle_gamma 75.03
loop_
_atom_site_label
_atom_site_type_symbol
_atom_site_fract_x
_atom_site_fract_y
_atom_site_fract_z
_atom_site_occupancy
Sb1 Sb 0.612 0.797 0.997 1
Sb2 Sb 0.358 0.305 0.413 1
I1 I 0.096 0.829 0.535 1
I2 I 0.874 0.274 0.875 1
Ge1 Ge 0.802 0.420 0.147 1
Ge2 Ge 0.168 0.683 0.263 1

Relative to the most stable structure, the computed energies are A 144; B 0, all in meV/atom.

## A
# GeSb2SeI GGA-PBE optimized geometry
# calculated volume = 32.2 Å³ per atom
# magnetization = 0.04 Bohr magnetons per cell
# space group = No. 123
data_GeSb2SeI
_chemical_formula_sum 'Ge1 Sb2 Se1 I1'
_symmetry_space_group_name_H-M 'P 1'
_symmetry_Int_Tables_number 1
_symmetry_space_group_name_Hall 'P 1'
_cell_length_a 5.487
_cell_length_b 5.487
_cell_length_c 5.356
_cell_angle_alpha 90.00
_cell_angle_beta 90.00
_cell_angle_gamma 90.00
loop_
_atom_site_label
_atom_site_type_symbol
_atom_site_fract_x
_atom_site_fract_y
_atom_site_fract_z
_atom_site_occupancy
Ge1 Ge 0.000 0.000 0.000 1
Sb1 Sb 0.000 0.500 0.000 1
Sb2 Sb 0.500 0.000 0.000 1
Se1 Se 0.500 0.500 0.500 1
I1 I 0.000 0.000 0.500 1

## B
# GeSb2SeI GGA-PBE optimized geometry
# calculated volume = 33.7 Å³ per atom
# magnetization = 0.00 Bohr magnetons per cell
# space group = No. 123
data_GeSb2SeI
_chemical_formula_sum 'Ge1 Sb2 Se1 I1'
_symmetry_space_group_name_H-M 'P 1'
_symmetry_Int_Tables_number 1
_symmetry_space_group_name_Hall 'P 1'
_cell_length_a 5.439
_cell_length_b 5.439
_cell_length_c 5.700
_cell_angle_alpha 90.00
_cell_angle_beta 90.00
_cell_angle_gamma 90.00
loop_
_atom_site_label
_atom_site_type_symbol
_atom_site_fract_x
_atom_site_fract_y
_atom_site_fract_z
_atom_site_occupancy
Sb1 Sb 0.000 0.500 0.000 1
Sb2 Sb 0.500 0.000 0.000 1
I1 I 0.000 0.000 0.500 1
Ge1 Ge 0.500 0.500 0.500 1
Se1 Se 0.000 0.000 0.000 1

Relative to the most stable structure, the computed energies are A 0; B 91, all in meV/atom.

## A
# GeSbSeI2 GGA-PBE optimized geometry
# calculated volume = 35.8 Å³ per atom
# magnetization = 0.00 Bohr magnetons per cell
# space group = No. 123
data_GeSbSeI2
_chemical_formula_sum 'Ge1 Sb1 Se1 I2'
_symmetry_space_group_name_H-M 'P 1'
_symmetry_Int_Tables_number 1
_symmetry_space_group_name_Hall 'P 1'
_cell_length_a 5.676
_cell_length_b 5.676
_cell_length_c 5.563
_cell_angle_alpha 90.00
_cell_angle_beta 90.00
_cell_angle_gamma 90.00
loop_
_atom_site_label
_atom_site_type_symbol
_atom_site_fract_x
_atom_site_fract_y
_atom_site_fract_z
_atom_site_occupancy
Ge1 Ge 0.500 0.500 0.500 1
I1 I 0.500 0.000 0.000 1
I2 I 0.000 0.500 0.000 1
Sb1 Sb 0.000 0.000 0.500 1
Se1 Se 0.000 0.000 0.000 1

## B
# GeSbSeI2 GGA-PBE optimized geometry
# calculated volume = 35.2 Å³ per atom
# magnetization = 0.55 Bohr magnetons per cell
# space group = No. 123
data_GeSbSeI2
_chemical_formula_sum 'Ge1 Sb1 Se1 I2'
_symmetry_space_group_name_H-M 'P 1'
_symmetry_Int_Tables_number 1
_symmetry_space_group_name_Hall 'P 1'
_cell_length_a 5.519
_cell_length_b 5.519
_cell_length_c 5.774
_cell_angle_alpha 90.00
_cell_angle_beta 90.00
_cell_angle_gamma 90.00
loop_
_atom_site_label
_atom_site_type_symbol
_atom_site_fract_x
_atom_site_fract_y
_atom_site_fract_z
_atom_site_occupancy
I1 I 0.000 0.500 0.000 1
I2 I 0.500 0.000 0.000 1
Se1 Se 0.500 0.500 0.500 1
Sb1 Sb 0.000 0.000 0.500 1
Ge1 Ge 0.000 0.000 0.000 1

Relative to the most stable structure, the computed energies are A 127; B 0, all in meV/atom.

## A
# SiGeSbI2 GGA-PBE optimized geometry
# calculated volume = 32.2 Å³ per atom
# magnetization = 0.00 Bohr magnetons per cell
# space group = No. 123
data_SiGeSbI2
_chemical_formula_sum 'Si1 Ge1 Sb1 I2'
_symmetry_space_group_name_H-M 'P 1'
_symmetry_Int_Tables_number 1
_symmetry_space_group_name_Hall 'P 1'
_cell_length_a 5.391
_cell_length_b 5.391
_cell_length_c 5.535
_cell_angle_alpha 90.00
_cell_angle_beta 90.00
_cell_angle_gamma 90.00
loop_
_atom_site_label
_atom_site_type_symbol
_atom_site_fract_x
_atom_site_fract_y
_atom_site_fract_z
_atom_site_occupancy
Si1 Si 0.000 0.000 0.000 1
Sb1 Sb 0.000 0.000 0.500 1
I1 I 0.500 0.000 0.000 1
I2 I 0.000 0.500 0.000 1
Ge1 Ge 0.500 0.500 0.500 1

## B
# SiGeSbI2 GGA-PBE optimized geometry
# calculated volume = 34.6 Å³ per atom
# magnetization = 0.00 Bohr magnetons per cell
# space group = No. 123
data_SiGeSbI2
_chemical_formula_sum 'Si1 Ge1 Sb1 I2'
_symmetry_space_group_name_H-M 'P 1'
_symmetry_Int_Tables_number 1
_symmetry_space_group_name_Hall 'P 1'
_cell_length_a 5.536
_cell_length_b 5.536
_cell_length_c 5.637
_cell_angle_alpha 90.00
_cell_angle_beta 90.00
_cell_angle_gamma 90.00
loop_
_atom_site_label
_atom_site_type_symbol
_atom_site_fract_x
_atom_site_fract_y
_atom_site_fract_z
_atom_site_occupancy
I1 I 0.500 0.000 0.000 1
I2 I 0.000 0.500 0.000 1
Sb1 Sb 0.000 0.000 0.500 1
Si1 Si 0.500 0.500 0.500 1
Ge1 Ge 0.000 0.000 0.000 1

Relative to the most stable structure, the computed energies are A 0; B 169, all in meV/atom.

## A
# TaGeSbI2 GGA-PBE optimized geometry
# calculated volume = 33.1 Å³ per atom
# magnetization = 1.44 Bohr magnetons per cell
# space group = No. 123
data_TaGeSbI2
_chemical_formula_sum 'Ta1 Ge1 Sb1 I2'
_symmetry_space_group_name_H-M 'P 1'
_symmetry_Int_Tables_number 1
_symmetry_space_group_name_Hall 'P 1'
_cell_length_a 5.451
_cell_length_b 5.451
_cell_length_c 5.567
_cell_angle_alpha 90.00
_cell_angle_beta 90.00
_cell_angle_gamma 90.00
loop_
_atom_site_label
_atom_site_type_symbol
_atom_site_fract_x
_atom_site_fract_y
_atom_site_fract_z
_atom_site_occupancy
I1 I 0.000 0.500 0.000 1
I2 I 0.500 0.000 0.000 1
Sb1 Sb 0.000 0.000 0.500 1
Ta1 Ta 0.000 0.000 0.000 1
Ge1 Ge 0.500 0.500 0.500 1

## B
# TaGeSbI2 GGA-PBE optimized geometry
# calculated volume = 32.6 Å³ per atom
# magnetization = 2.37 Bohr magnetons per cell
# space group = No. 123
data_TaGeSbI2
_chemical_formula_sum 'Ta1 Ge1 Sb1 I2'
_symmetry_space_group_name_H-M 'P 1'
_symmetry_Int_Tables_number 1
_symmetry_space_group_name_Hall 'P 1'
_cell_length_a 5.436
_cell_length_b 5.436
_cell_length_c 5.517
_cell_angle_alpha 90.00
_cell_angle_beta 90.00
_cell_angle_gamma 90.00
loop_
_atom_site_label
_atom_site_type_symbol
_atom_site_fract_x
_atom_site_fract_y
_atom_site_fract_z
_atom_site_occupancy
Ge1 Ge 0.000 0.000 0.000 1
Ta1 Ta 0.500 0.500 0.500 1
Sb1 Sb 0.000 0.000 0.500 1
I1 I 0.500 0.000 0.000 1
I2 I 0.000 0.500 0.000 1

Relative to the most stable structure, the computed energies are A 0; B 581, all in meV/atom.

## A
# GeSbTe2I GGA-PBE optimized geometry
# calculated volume = 38.6 Å³ per atom
# magnetization = 0.00 Bohr magnetons per cell
# space group = No. 123
data_GeSbTe2I
_chemical_formula_sum 'Ge1 Sb1 Te2 I1'
_symmetry_space_group_name_H-M 'P 1'
_symmetry_Int_Tables_number 1
_symmetry_space_group_name_Hall 'P 1'
_cell_length_a 5.753
_cell_length_b 5.753
_cell_length_c 5.839
_cell_angle_alpha 90.00
_cell_angle_beta 90.00
_cell_angle_gamma 90.00
loop_
_atom_site_label
_atom_site_type_symbol
_atom_site_fract_x
_atom_site_fract_y
_atom_site_fract_z
_atom_site_occupancy
Te1 Te 0.500 0.000 0.000 1
Te2 Te 0.000 0.500 0.000 1
Sb1 Sb 0.000 0.000 0.500 1
Ge1 Ge 0.500 0.500 0.500 1
I1 I 0.000 0.000 0.000 1

## B
# GeSbTe2I GGA-PBE optimized geometry
# calculated volume = 39.0 Å³ per atom
# magnetization = 0.20 Bohr magnetons per cell
# space group = No. 123
data_GeSbTe2I
_chemical_formula_sum 'Ge1 Sb1 Te2 I1'
_symmetry_space_group_name_H-M 'P 1'
_symmetry_Int_Tables_number 1
_symmetry_space_group_name_Hall 'P 1'
_cell_length_a 5.810
_cell_length_b 5.810
_cell_length_c 5.775
_cell_angle_alpha 90.00
_cell_angle_beta 90.00
_cell_angle_gamma 90.00
loop_
_atom_site_label
_atom_site_type_symbol
_atom_site_fract_x
_atom_site_fract_y
_atom_site_fract_z
_atom_site_occupancy
Te1 Te 0.500 0.000 0.000 1
Te2 Te 0.000 0.500 0.000 1
Ge1 Ge 0.500 0.500 0.500 1
I1 I 0.000 0.000 0.500 1
Sb1 Sb 0.000 0.000 0.000 1

## C
# GeSbTe2I GGA-PBE optimized geometry
# calculated volume = 33.0 Å³ per atom
# magnetization = 0.00 Bohr magnetons per cell
# space group = No. 123
data_GeSbTe2I
_chemical_formula_sum 'Ge1 Sb1 Te2 I1'
_symmetry_space_group_name_H-M 'P 1'
_symmetry_Int_Tables_number 1
_symmetry_space_group_name_Hall 'P 1'
_cell_length_a 5.492
_cell_length_b 5.492
_cell_length_c 5.468
_cell_angle_alpha 90.00
_cell_angle_beta 90.00
_cell_angle_gamma 90.00
loop_
_atom_site_label
_atom_site_type_symbol
_atom_site_fract_x
_atom_site_fract_y
_atom_site_fract_z
_atom_site_occupancy
Ge1 Ge 0.000 0.000 0.000 1
I1 I 0.000 0.000 0.500 1
Te1 Te 0.500 0.000 0.000 1
Te2 Te 0.000 0.500 0.000 1
Sb1 Sb 0.500 0.500 0.500 1

Relative to the most stable structure, the computed energies are A 642; B 142; C 0, all in meV/atom.

## A
# TiGeSbI2 GGA-PBE optimized geometry
# calculated volume = 32.4 Å³ per atom
# magnetization = 1.14 Bohr magnetons per cell
# space group = No. 123
data_TiGeSbI2
_chemical_formula_sum 'Ti1 Ge1 Sb1 I2'
_symmetry_space_group_name_H-M 'P 1'
_symmetry_Int_Tables_number 1
_symmetry_space_group_name_Hall 'P 1'
_cell_length_a 5.361
_cell_length_b 5.361
_cell_length_c 5.642
_cell_angle_alpha 90.00
_cell_angle_beta 90.00
_cell_angle_gamma 90.00
loop_
_atom_site_label
_atom_site_type_symbol
_atom_site_fract_x
_atom_site_fract_y
_atom_site_fract_z
_atom_site_occupancy
I1 I 0.500 0.000 0.000 1
I2 I 0.000 0.500 0.000 1
Ge1 Ge 0.500 0.500 0.500 1
Sb1 Sb 0.000 0.000 0.500 1
Ti1 Ti 0.000 0.000 0.000 1

## B
# TiGeSbI2 GGA-PBE optimized geometry
# calculated volume = 34.5 Å³ per atom
# magnetization = 1.56 Bohr magnetons per cell
# space group = No. 123
data_TiGeSbI2
_chemical_formula_sum 'Ti1 Ge1 Sb1 I2'
_symmetry_space_group_name_H-M 'P 1'
_symmetry_Int_Tables_number 1
_symmetry_space_group_name_Hall 'P 1'
_cell_length_a 5.558
_cell_length_b 5.558
_cell_length_c 5.578
_cell_angle_alpha 90.00
_cell_angle_beta 90.00
_cell_angle_gamma 90.00
loop_
_atom_site_label
_atom_site_type_symbol
_atom_site_fract_x
_atom_site_fract_y
_atom_site_fract_z
_atom_site_occupancy
Ge1 Ge 0.000 0.000 0.000 1
Sb1 Sb 0.000 0.000 0.500 1
I1 I 0.500 0.000 0.000 1
I2 I 0.000 0.500 0.000 1
Ti1 Ti 0.500 0.500 0.500 1

Relative to the most stable structure, the computed energies are A 0; B 398, all in meV/atom.

## A
# TlGeSb2I GGA-PBE optimized geometry
# calculated volume = 36.0 Å³ per atom
# magnetization = 0.00 Bohr magnetons per cell
# space group = No. 123
data_TlGeSb2I
_chemical_formula_sum 'Tl1 Ge1 Sb2 I1'
_symmetry_space_group_name_H-M 'P 1'
_symmetry_Int_Tables_number 1
_symmetry_space_group_name_Hall 'P 1'
_cell_length_a 5.428
_cell_length_b 5.428
_cell_length_c 6.112
_cell_angle_alpha 90.00
_cell_angle_beta 90.00
_cell_angle_gamma 90.00
loop_
_atom_site_label
_atom_site_type_symbol
_atom_site_fract_x
_atom_site_fract_y
_atom_site_fract_z
_atom_site_occupancy
I1 I 0.000 0.000 0.500 1
Tl1 Tl 0.500 0.500 0.500 1
Sb1 Sb 0.000 0.500 0.000 1
Sb2 Sb 0.500 0.000 0.000 1
Ge1 Ge 0.000 0.000 0.000 1

## B
# TlGeSb2I GGA-PBE optimized geometry
# calculated volume = 39.5 Å³ per atom
# magnetization = 0.65 Bohr magnetons per cell
# space group = No. 123
data_TlGeSb2I
_chemical_formula_sum 'Tl1 Ge1 Sb2 I1'
_symmetry_space_group_name_H-M 'P 1'
_symmetry_Int_Tables_number 1
_symmetry_space_group_name_Hall 'P 1'
_cell_length_a 5.702
_cell_length_b 5.702
_cell_length_c 6.067
_cell_angle_alpha 90.00
_cell_angle_beta 90.00
_cell_angle_gamma 90.00
loop_
_atom_site_label
_atom_site_type_symbol
_atom_site_fract_x
_atom_site_fract_y
_atom_site_fract_z
_atom_site_occupancy
Sb1 Sb 0.000 0.500 0.000 1
Sb2 Sb 0.500 0.000 0.000 1
Ge1 Ge 0.500 0.500 0.500 1
Tl1 Tl 0.000 0.000 0.000 1
I1 I 0.000 0.000 0.500 1

Relative to the most stable structure, the computed energies are A 0; B 612, all in meV/atom.